Record 1
Computed, not measured: a relaxed structure of HoCo2O4 at the GGA+U level of DFT.

abc: 6.164 6.164 5.572
angles: 114.93 114.93 102.92
Fractional positions:
Ho  0.125  0.875  0.750
Ho  0.875  0.125  0.250
Co  0.000  0.500  0.000
Co  0.500  0.000  0.500
Co  0.500  0.500  0.000
Co  0.500  0.500  0.500
O  0.133  0.279  0.085
O  0.160  0.525  0.793
O  0.279  0.133  0.585
O  0.475  0.840  0.707
O  0.525  0.160  0.293
O  0.721  0.867  0.415
O  0.840  0.475  0.207
O  0.867  0.721  0.915

Output
Density = 7.58 g/cm³
E = -95.42 eV per cell


Record 2
Computed, not measured: a relaxed structure of Ho2Co2O5 at the GGA+U level of DFT.

abc: 3.798 3.798 6.842
angles: 90.00 90.00 90.00
Fractional positions:
Ho  0.000  0.000  0.000
Ho  0.000  0.000  0.500
Co  0.500  0.500  0.207
Co  0.500  0.500  0.793
O  0.000  0.500  0.218
O  0.000  0.500  0.782
O  0.500  0.000  0.218
O  0.500  0.000  0.782
O  0.500  0.500  0.500

Output
Density = 8.88 g/cm³
E = -62.37 eV per cell


Record 3
Computed, not measured: a relaxed structure of HoCoPO at the GGA+U level of DFT.

abc: 3.837 3.837 7.729
angles: 90.00 90.00 90.00
Fractional positions:
Ho  0.250  0.250  0.145
Ho  0.750  0.750  0.855
Co  0.250  0.750  0.500
Co  0.750  0.250  0.500
P  0.250  0.250  0.636
P  0.750  0.750  0.364
O  0.250  0.750  0.000
O  0.750  0.250  0.000

Output
Density = 7.91 g/cm³
E = -54.45 eV per cell


Record 4
Computed, not measured: a relaxed structure of HoCoPO at the GGA+U level of DFT.

abc: 4.292 3.958 6.701
angles: 90.00 90.00 90.00
Fractional positions:
Ho  0.000  0.228  0.000
Ho  0.000  0.772  0.500
Co  0.500  0.272  0.337
Co  0.500  0.728  0.837
P  0.500  0.228  0.671
P  0.500  0.772  0.171
O  0.000  0.273  0.335
O  0.000  0.727  0.835

Output
Density = 7.90 g/cm³
E = -51.39 eV per cell


Record 5
Computed, not measured: a relaxed structure of HoCoPO at the GGA+U level of DFT.

abc: 4.332 4.332 8.775
angles: 90.00 90.00 90.00
Fractional positions:
Ho  0.250  0.750  0.000
Ho  0.750  0.250  0.000
Co  0.250  0.250  0.484
Co  0.750  0.750  0.516
P  0.250  0.250  0.178
P  0.750  0.750  0.822
O  0.250  0.750  0.500
O  0.750  0.250  0.500

Output
Density = 5.46 g/cm³
E = -42.19 eV per cell


Record 6
Computed, not measured: a relaxed structure of HoCoPO at the GGA+U level of DFT.

abc: 4.294 5.879 5.684
angles: 90.00 90.00 90.00
Fractional positions:
Ho  0.000  0.236  0.000
Ho  0.000  0.764  0.500
Co  0.500  0.365  0.619
Co  0.500  0.635  0.119
P  0.000  0.238  0.499
P  0.000  0.762  0.999
O  0.500  0.326  0.976
O  0.500  0.674  0.476

Output
Density = 6.27 g/cm³
E = -51.45 eV per cell